ZrReS4: relaxed, PBE-GGA.

Unit cell a=6.177 b=6.050 c=6.050 alpha=90.00 beta=93.67 gamma=90.00
Fractional positions:
Zr (0.000, 0.000, 0.000)
Zr (0.000, 0.500, 0.500)
Re (0.500, 0.000, 0.500)
Re (0.500, 0.500, 0.000)
S (0.157, 0.137, 0.379)
S (0.157, 0.363, 0.879)
S (0.373, 0.650, 0.337)
S (0.373, 0.850, 0.837)
S (0.627, 0.150, 0.163)
S (0.627, 0.350, 0.663)
S (0.843, 0.637, 0.121)
S (0.843, 0.863, 0.621)

Results
As for the energy relative to the elements, uncorrected: -0.585 eV per atom. As for the energy: -82.0 eV per cell. The magnetic moment is 0.8 μB/f.u.